Entry 1:
Computed, not measured: a geometry-optimized Ni2MoAs structure at the PBE-GGA level of DFT.

Results
ΔH_f (0 K) = -0.016 eV per atom
V = 53.1 Å³/f.u.
Spin magnetization = 0.00 μB/f.u.

a = 3.8141 Å, b = 2.7688 Å, c = 10.0579 Å
α = 90.00°, β = 90.00°, γ = 90.00°
Last column: nearest neighbours and their distance in Å.
Space group Amm2 (No. 38)
Symmetry-distinct sites (fractional):
Ni  0.0000  0.0000  0.0000  2 As 2.30, 1 Mo 2.50
Ni  0.5000  0.0000  0.3840  3 As 2.57-2.82, 6 Ni 2.63-2.77, 4 Mo 2.71
Mo  0.0000  0.0000  0.7518  5 Ni 2.50-2.71, 4 As 2.66, 2 Mo 2.77
As  0.5000  0.0000  0.1280  3 Ni 2.30-2.57

Entry 2:
Computed, not measured: a geometry-optimized Ni2MoAs structure at the PBE-GGA level of DFT.

Results
ΔH_f (0 K) = 0.059 eV per atom
V = 53.7 Å³/f.u.
Spin magnetization = 0.00 μB/f.u.

a = 5.0642 Å, b = 7.6654 Å, c = 2.7659 Å
α = 90.00°, β = 90.19°, γ = 90.00°
Last column: nearest neighbours and their distance in Å.
Space group C2/m (No. 12)
Symmetry-distinct sites (fractional):
Ni  0.2500  0.2500  0.0000  4 Ni 2.53-2.77, 4 As 2.68, 4 Mo 2.68
Mo  0.0000  0.0000  0.5000  2 As 2.53, 8 Ni 2.68, 2 Mo 2.77
As  0.0000  0.5000  0.5000  2 Mo 2.53, 8 Ni 2.68, 2 As 2.77

Entry 3:
Computed, not measured: a geometry-optimized NiMo2As structure at the PBE-GGA level of DFT.

Results
ΔH_f (0 K) = 0.270 eV per atom
V = 58.3 Å³/f.u.
Spin magnetization = 0.00 μB/f.u.

a = 6.1553 Å, b = 6.1553 Å, c = 6.1553 Å
α = 90.00°, β = 90.00°, γ = 90.00°
Last column: nearest neighbours and their distance in Å.
Space group F-43m (No. 216)
Symmetry-distinct sites (fractional):
Ni  0.0000  0.0000  0.0000  4 As 2.67, 4 Mo 2.67
Mo  0.0000  0.0000  0.5000  4 Mo 2.67, 4 As 2.67
Mo  0.2500  0.2500  0.2500  4 Ni 2.67, 4 Mo 2.67
As  0.2500  0.2500  0.7500  4 Mo 2.67, 4 Ni 2.67

Entry 4:
Computed, not measured: a geometry-optimized Ni2MoAs structure at the PBE-GGA level of DFT.

Results
ΔH_f (0 K) = -0.008 eV per atom
V = 53.8 Å³/f.u.
Spin magnetization = 0.00 μB/f.u.

a = 2.7089 Å, b = 4.0765 Å, c = 4.8731 Å
α = 90.00°, β = 90.00°, γ = 90.00°
Last column: nearest neighbours and their distance in Å.
Space group Pmm2 (No. 25)
Symmetry-distinct sites (fractional):
Ni  0.0000  0.0000  0.0000  2 As 2.35, 2 Ni 2.44
Ni  0.0000  0.5000  0.2747  2 As 2.37-2.51, 2 Ni 2.44
Mo  0.5000  0.0000  0.4847  8 Ni 2.65-2.85, 2 Mo 2.71, 4 As 2.79
As  0.0000  0.5000  0.7605  4 Ni 2.35-2.51

Copy entry 4 word for word.
Computed, not measured: a geometry-optimized Ni2MoAs structure at the PBE-GGA level of DFT.

Results
ΔH_f (0 K) = -0.008 eV per atom
V = 53.8 Å³/f.u.
Spin magnetization = 0.00 μB/f.u.

a = 2.7089 Å, b = 4.0765 Å, c = 4.8731 Å
α = 90.00°, β = 90.00°, γ = 90.00°
Last column: nearest neighbours and their distance in Å.
Space group Pmm2 (No. 25)
Symmetry-distinct sites (fractional):
Ni  0.0000  0.0000  0.0000  2 As 2.35, 2 Ni 2.44
Ni  0.0000  0.5000  0.2747  2 As 2.37-2.51, 2 Ni 2.44
Mo  0.5000  0.0000  0.4847  8 Ni 2.65-2.85, 2 Mo 2.71, 4 As 2.79
As  0.0000  0.5000  0.7605  4 Ni 2.35-2.51